The following is a PBE+U calculation of a relaxed structure of MgVAgO4, from Alexandria.

Structure (POSCAR):
```
MgVAgO4
1.0
-2.607 2.607 4.178
2.607 -2.607 4.178
2.607 2.607 -4.178
Mg V Ag O
1 1 1 4
Direct
0.000 0.000 0.000
0.750 0.250 0.500
0.500 0.500 0.000
0.028 0.595 0.880
0.405 0.285 0.432
0.715 0.147 0.120
0.853 0.972 0.568
```

Results
V (Å³/cell): 114
Polymorph energy (0 for the lowest one) (meV/atom): 8
VASP energy (eV per atom): -6.287